Entry 1:
A plane-wave DFT calculation with PBE-GGA was carried out for a relaxed structure of YIrBr2.

```
YIrBr2
1.0
1.7357 1.0021 9.0000
-1.7357 1.0021 9.0000
0.0000 -2.0042 9.0000
Y Ir Br
1 1 2
Direct
0.0000 0.0000 0.0000
0.5000 0.5000 0.5000
0.4093 0.4093 0.4093
0.5907 0.5907 0.5907
```

DFT total energy, eV/atom: -4.7664
SG: R-3m
Magnetic moment, μB/cell: 0.000
Formation energy (no corrections), kJ/mol of atoms: -9.5


Entry 2:
A plane-wave DFT calculation with PBE-GGA was carried out for a relaxed structure of Y5IrBr9.

```
Y5IrBr9
1.0
-6.4961 6.4961 23.0725
6.4961 -6.4961 23.0725
6.4961 6.4961 -23.0725
Y Ir Br
40 8 72
Direct
0.0173 0.5652 0.1490
0.0243 0.1406 0.9755
0.0652 0.4162 0.5479
0.0838 0.1317 0.6490
0.1103 0.8714 0.7896
0.1481 0.9937 0.0637
0.1792 0.3897 0.2611
0.2455 0.1072 0.0348
0.2893 0.2545 0.3618
0.3349 0.9512 0.4755
0.3594 0.8349 0.8837
0.3683 0.5173 0.9521
0.3714 0.0818 0.7611
0.3928 0.9276 0.1382
0.4155 0.3519 0.3456
0.4182 0.6792 0.2896
0.4276 0.7893 0.5348
0.4300 0.0845 0.4363
0.4512 0.4757 0.6163
0.4937 0.9300 0.8456
0.5063 0.0700 0.1544
0.5488 0.5243 0.3837
0.5700 0.9155 0.5637
0.5724 0.2107 0.4652
0.5818 0.3208 0.7104
0.5845 0.6481 0.6544
0.6072 0.0724 0.8618
0.6286 0.9182 0.2389
0.6317 0.4827 0.0479
0.6406 0.1651 0.1163
0.6651 0.0488 0.5245
0.7107 0.7455 0.6382
0.7545 0.8928 0.9652
0.8208 0.6103 0.7389
0.8519 0.0063 0.9363
0.8897 0.1286 0.2104
0.9162 0.8683 0.3510
0.9348 0.5838 0.4521
0.9757 0.8594 0.0245
0.9827 0.4348 0.8510
0.2193 0.0574 0.0806
0.3613 0.2807 0.3381
0.4426 0.0232 0.1619
0.4768 0.1387 0.4194
0.5232 0.8613 0.5806
0.5574 0.9768 0.8381
0.6387 0.7193 0.6619
0.7807 0.9426 0.9194
0.0029 0.3362 0.5231
0.0201 0.4971 0.8333
0.0288 0.0595 0.6453
0.0373 0.7843 0.7558
0.0406 0.2165 0.9443
0.0547 0.9153 0.0324
0.0771 0.3550 0.2471
0.0859 0.6165 0.1453
0.1004 0.0441 0.3303
0.1071 0.7661 0.4344
0.1165 0.4712 0.5306
0.1450 0.8921 0.7220
0.1638 0.1869 0.6667
0.1683 0.3273 0.9344
0.1727 0.6071 0.8410
0.2138 0.7701 0.1697
0.2185 0.4627 0.2470
0.2268 0.1760 0.3538
0.2278 0.9037 0.4443
0.2661 0.3317 0.6590
0.2701 0.6004 0.5563
0.2843 0.0285 0.7470
0.2835 0.7278 0.8241
0.3131 0.4799 0.9769
0.3222 0.8730 0.1462
0.3240 0.1778 0.0508
0.3300 0.5771 0.2220
0.3730 0.7268 0.5508
0.3830 0.0224 0.4676
0.3921 0.1700 0.7471
0.4037 0.4594 0.6759
0.4153 0.8830 0.8606
0.4405 0.5859 0.9694
0.4559 0.2862 0.0563
0.4715 0.7185 0.2558
0.4776 0.4453 0.3606
0.5224 0.5547 0.6394
0.5285 0.2815 0.7442
0.5441 0.7138 0.9437
0.5595 0.4141 0.0306
0.5847 0.1170 0.1394
0.5963 0.5406 0.3241
0.6079 0.8300 0.2529
0.6170 0.9776 0.5324
0.6270 0.2732 0.4492
0.6700 0.4229 0.7780
0.6760 0.8222 0.9492
0.6778 0.1270 0.8538
0.6869 0.5201 0.0231
0.7165 0.2722 0.1759
0.7157 0.9715 0.2530
0.7299 0.3996 0.4437
0.7339 0.6683 0.3410
0.7722 0.0963 0.5557
0.7732 0.8240 0.6462
0.7815 0.5373 0.7530
0.7862 0.2299 0.8303
0.8273 0.3929 0.1590
0.8317 0.6727 0.0656
0.8362 0.8131 0.3333
0.8550 0.1079 0.2780
0.8835 0.5288 0.4694
0.8929 0.2339 0.5656
0.8996 0.9559 0.6697
0.9141 0.3835 0.8547
0.9229 0.6450 0.7529
0.9453 0.0847 0.9676
0.9594 0.7835 0.0557
0.9627 0.2157 0.2442
0.9712 0.9405 0.3547
0.9799 0.5029 0.1667
0.9971 0.6638 0.4769
```

DFT total energy, eV/atom: -5.4240
SG: I4_1/a
Magnetic moment, μB/cell: 0.000
Formation energy (no corrections), kJ/mol of atoms: -161.6


Entry 3:
A plane-wave DFT calculation with PBE-GGA was carried out for a relaxed structure of YIr2Br.

```
YIr2Br
1.0
3.8132 0.0000 0.0000
0.0000 3.8132 0.0000
0.0000 0.0000 5.4300
Y Ir Br
1 2 1
Direct
0.0000 0.0000 0.0000
0.0000 0.5000 0.5000
0.5000 0.0000 0.5000
0.5000 0.5000 0.0000
```

DFT total energy, eV/atom: -6.4054
SG: P4/mmm
Magnetic moment, μB/cell: 0.792
Formation energy (no corrections), kJ/mol of atoms: 5.7


Among the records above, which one has the lowest DFT total energy?
YIr2Br


Among the records above, which one has the highest magnetic moment?
YIr2Br


Among the records above, which one has the highest formation energy (no corrections)?
YIr2Br